# 1
# Pr3Nd5Hg2 | Alexandria | PBE | optimized geometry
data_Pr3Nd5Hg2
_chemical_formula_sum 'Pr6 Nd10 Hg4'
_cell_length_a 10.6483
_cell_length_b 10.6483
_cell_length_c 10.6483
_cell_angle_alpha 99.37
_cell_angle_beta 92.63
_cell_angle_gamma 142.31
_space_group_name_H-M_alt 'P 1'
_space_group_IT_number 1
loop_
_space_group_symop_operation_xyz
'x,y,z'
loop_
_atom_site_label
_atom_site_type_symbol
_atom_site_fract_x
_atom_site_fract_y
_atom_site_fract_z
Pr1 Pr 0.2276 0.1478 0.3754
Pr2 Pr 0.2500 0.2500 0.0000
Pr3 Pr 0.2724 0.6478 0.9202
Pr4 Pr 0.7276 0.3522 0.0798
Pr5 Pr 0.7500 0.7500 0.0000
Pr6 Pr 0.7724 0.8522 0.6246
Nd1 Nd 0.1758 0.4104 0.5861
Nd2 Nd 0.2500 0.5121 0.2621
Nd3 Nd 0.2500 0.7500 0.5000
Nd4 Nd 0.2500 0.9879 0.7379
Nd5 Nd 0.3242 0.9104 0.2346
Nd6 Nd 0.6758 0.0896 0.7654
Nd7 Nd 0.7500 0.0121 0.2621
Nd8 Nd 0.7500 0.2500 0.5000
Nd9 Nd 0.7500 0.4879 0.7379
Nd10 Nd 0.8242 0.5896 0.4139
Hg1 Hg 0.1308 0.8650 0.9958
Hg2 Hg 0.3692 0.3650 0.7342
Hg3 Hg 0.6308 0.6350 0.2658
Hg4 Hg 0.8692 0.1350 0.0042
# * total magnetization: 0.00 μB per formula unit
# * calculated density: 7.4 g cm⁻³
# * D(E_F): 25.5 states/eV/cell
# * total energy: -3.852 eV/atom
# * V: 697.17 Å³/cell

=====

# 2
# Cd2I3Br | Alexandria | PBE | optimized geometry
data_Cd2I3Br
_chemical_formula_sum 'Cd4 I6 Br2'
_cell_length_a 14.1936
_cell_length_b 14.1936
_cell_length_c 8.8216
_cell_angle_alpha 94.31
_cell_angle_beta 94.31
_cell_angle_gamma 17.71
_space_group_name_H-M_alt 'P 1'
_space_group_IT_number 1
loop_
_space_group_symop_operation_xyz
'x,y,z'
loop_
_atom_site_label
_atom_site_type_symbol
_atom_site_fract_x
_atom_site_fract_y
_atom_site_fract_z
Cd1 Cd 0.0653 0.0653 0.0234
Cd2 Cd 0.3185 0.3185 0.6418
Cd3 Cd 0.6815 0.6815 0.3582
Cd4 Cd 0.9347 0.9347 0.9766
I1 I 0.0029 0.0029 0.7567
I2 I 0.2384 0.2384 0.2719
I3 I 0.3921 0.3921 0.4680
I4 I 0.6079 0.6079 0.5320
I5 I 0.7616 0.7616 0.7281
I6 I 0.9971 0.9971 0.2433
Br1 Br 0.3768 0.3768 0.9616
Br2 Br 0.6232 0.6232 0.0384
# * total magnetization: 0.00 μB per formula unit
# * relative energy among the computed polymorphs: 48.8 meV per atom
# * calculated density: 4.2 g cm⁻³
# * uncorrected formation energy: -591 meV/atom
# * total energy: -1.950 eV/atom
# * V: 539.01 Å³/cell

=====

# 3
# KAlAg2F6 | Alexandria | PBE | optimized geometry
data_KAlAg2F6
_chemical_formula_sum 'K1 Al1 Ag2 F6'
_cell_length_a 5.9330
_cell_length_b 5.9330
_cell_length_c 5.9330
_cell_angle_alpha 61.49
_cell_angle_beta 61.49
_cell_angle_gamma 61.49
_space_group_name_H-M_alt 'P 1'
_space_group_IT_number 1
loop_
_space_group_symop_operation_xyz
'x,y,z'
loop_
_atom_site_label
_atom_site_type_symbol
_atom_site_fract_x
_atom_site_fract_y
_atom_site_fract_z
K1 K 0.0000 0.0000 0.0000
Al1 Al 0.5000 0.5000 0.5000
Ag1 Ag 0.2656 0.2656 0.2656
Ag2 Ag 0.7344 0.7344 0.7344
F1 F 0.1828 0.6772 0.4168
F2 F 0.3228 0.5832 0.8172
F3 F 0.4168 0.1828 0.6772
F4 F 0.5832 0.8172 0.3228
F5 F 0.6772 0.4168 0.1828
F6 F 0.8172 0.3228 0.5832
# * total magnetization: 0.00 μB per formula unit
# * calculated density: 4.3 g cm⁻³
# * D(E_F): 0.0 states/eV/cell
# * uncorrected formation energy: -2402 meV/atom
# * total energy: -4.580 eV/atom
# * V: 152.62 Å³/cell

=====

# 4
# Ba3Pt7Au2 | Alexandria | PBE | optimized geometry
data_Ba3Pt7Au2
_chemical_formula_sum 'Ba3 Pt7 Au2'
_cell_length_a 9.7299
_cell_length_b 9.7299
_cell_length_c 9.7299
_cell_angle_alpha 34.04
_cell_angle_beta 34.04
_cell_angle_gamma 34.04
_space_group_name_H-M_alt 'P 1'
_space_group_IT_number 1
loop_
_space_group_symop_operation_xyz
'x,y,z'
loop_
_atom_site_label
_atom_site_type_symbol
_atom_site_fract_x
_atom_site_fract_y
_atom_site_fract_z
Ba1 Ba 0.0000 0.0000 0.0000
Ba2 Ba 0.1406 0.1406 0.1406
Ba3 Ba 0.8594 0.8594 0.8594
Pt1 Pt 0.0836 0.5833 0.5833
Pt2 Pt 0.4167 0.4167 0.9164
Pt3 Pt 0.4167 0.9164 0.4167
Pt4 Pt 0.5000 0.5000 0.5000
Pt5 Pt 0.5833 0.0836 0.5833
Pt6 Pt 0.5833 0.5833 0.0836
Pt7 Pt 0.9164 0.4167 0.4167
Au1 Au 0.3323 0.3323 0.3323
Au2 Au 0.6677 0.6677 0.6677
# * total magnetization: 0.00 μB per formula unit
# * calculated density: 14.0 g cm⁻³
# * D(E_F): 6.0 states/eV/cell
# * total energy: -5.170 eV/atom
# * V: 257.33 Å³/cell

=====

# 5
# PmNbOs | Alexandria | PBE | optimized geometry
data_PmNbOs
_chemical_formula_sum 'Pm2 Nb2 Os2'
_cell_length_a 5.5258
_cell_length_b 5.5258
_cell_length_c 5.5258
_cell_angle_alpha 118.01
_cell_angle_beta 116.35
_cell_angle_gamma 94.96
_space_group_name_H-M_alt 'P 1'
_space_group_IT_number 1
loop_
_space_group_symop_operation_xyz
'x,y,z'
loop_
_atom_site_label
_atom_site_type_symbol
_atom_site_fract_x
_atom_site_fract_y
_atom_site_fract_z
Pm1 Pm 0.3867 0.1367 0.2500
Pm2 Pm 0.6133 0.8633 0.7500
Nb1 Nb 0.0000 0.0000 0.5000
Nb2 Nb 0.0000 0.5000 0.0000
Os1 Os 0.0000 0.5000 0.5000
Os2 Os 0.5000 0.5000 0.0000
# * total magnetization: 0.00 μB per formula unit
# * calculated density: 11.5 g cm⁻³
# * D(E_F): 5.5 states/eV/cell
# * total energy: -8.792 eV/atom
# * V: 123.86 Å³/cell

=====

# 6
# CaAs2Br | Alexandria | PBE | optimized geometry
data_CaAs2Br
_chemical_formula_sum 'Ca1 As2 Br1'
_cell_length_a 5.6914
_cell_length_b 5.6914
_cell_length_c 5.6914
_cell_angle_alpha 140.47
_cell_angle_beta 112.54
_cell_angle_gamma 81.10
_space_group_name_H-M_alt 'P 1'
_space_group_IT_number 1
loop_
_space_group_symop_operation_xyz
'x,y,z'
loop_
_atom_site_label
_atom_site_type_symbol
_atom_site_fract_x
_atom_site_fract_y
_atom_site_fract_z
Ca1 Ca 0.0000 0.0000 0.0000
As1 As 0.2909 0.7909 0.5000
As2 As 0.4689 0.4689 0.0000
Br1 Br 0.7582 0.2582 0.5000
# * total magnetization: 0.00 μB per formula unit
# * relative energy among the computed polymorphs: 202.6 meV per atom
# * calculated density: 4.3 g cm⁻³
# * D(E_F): 1.0 states/eV/cell
# * uncorrected formation energy: -674 meV/atom
# * total energy: -3.918 eV/atom
# * V: 105.21 Å³/cell

=====

# 7
# Cd2NiAg | Alexandria | PBE | optimized geometry
data_Cd2NiAg
_chemical_formula_sum 'Cd2 Ni1 Ag1'
_cell_length_a 9.3206
_cell_length_b 9.3206
_cell_length_c 9.3206
_cell_angle_alpha 18.45
_cell_angle_beta 18.45
_cell_angle_gamma 18.45
_space_group_name_H-M_alt 'P 1'
_space_group_IT_number 1
loop_
_space_group_symop_operation_xyz
'x,y,z'
loop_
_atom_site_label
_atom_site_type_symbol
_atom_site_fract_x
_atom_site_fract_y
_atom_site_fract_z
Cd1 Cd 0.0000 0.0000 0.0000
Cd2 Cd 0.1815 0.1815 0.1815
Ni1 Ni 0.5907 0.5907 0.5907
Ag1 Ag 0.7575 0.7575 0.7575
# * total magnetization: 0.00 μB per formula unit
# * calculated density: 9.2 g cm⁻³
# * D(E_F): 2.6 states/eV/cell
# * total energy: -2.526 eV/atom
# * V: 70.87 Å³/cell

=====

# 8
# TiInNiPd | Alexandria | PBE | optimized geometry
data_TiInNiPd
_chemical_formula_sum 'Ti1 In1 Ni1 Pd1'
_cell_length_a 4.4634
_cell_length_b 4.4634
_cell_length_c 4.4634
_cell_angle_alpha 60.00
_cell_angle_beta 60.00
_cell_angle_gamma 60.00
_space_group_name_H-M_alt 'P 1'
_space_group_IT_number 1
loop_
_space_group_symop_operation_xyz
'x,y,z'
loop_
_atom_site_label
_atom_site_type_symbol
_atom_site_fract_x
_atom_site_fract_y
_atom_site_fract_z
Ti1 Ti 0.0000 0.0000 0.0000
In1 In 0.5000 0.5000 0.5000
Ni1 Ni 0.2500 0.2500 0.2500
Pd1 Pd 0.7500 0.7500 0.7500
# * total magnetization: 0.00 μB per formula unit
# * calculated density: 8.7 g cm⁻³
# * D(E_F): 4.1 states/eV/cell
# * total energy: -5.822 eV/atom
# * V: 62.88 Å³/cell

=====

# 9
# YAgPb2 | Alexandria | PBE | optimized geometry
data_YAgPb2
_chemical_formula_sum 'Y2 Ag2 Pb4'
_cell_length_a 11.1438
_cell_length_b 11.1438
_cell_length_c 11.1438
_cell_angle_alpha 155.91
_cell_angle_beta 155.91
_cell_angle_gamma 34.33
_space_group_name_H-M_alt 'P 1'
_space_group_IT_number 1
loop_
_space_group_symop_operation_xyz
'x,y,z'
loop_
_atom_site_label
_atom_site_type_symbol
_atom_site_fract_x
_atom_site_fract_y
_atom_site_fract_z
Y1 Y 0.0000 0.0000 0.0000
Y2 Y 0.7500 0.2500 0.5000
Ag1 Ag 0.2500 0.7500 0.5000
Ag2 Ag 0.5000 0.5000 0.0000
Pb1 Pb 0.1367 0.6250 0.0117
Pb2 Pb 0.3750 0.3867 0.5117
Pb3 Pb 0.6133 0.1250 0.9883
Pb4 Pb 0.8750 0.8633 0.4883
# * total magnetization: 0.00 μB per formula unit
# * calculated density: 8.8 g cm⁻³
# * D(E_F): 4.7 states/eV/cell
# * total energy: -4.220 eV/atom
# * V: 230.30 Å³/cell

=====

# 10
# Pm3Er3Pu | Alexandria | PBE | optimized geometry
data_Pm3Er3Pu
_chemical_formula_sum 'Pm6 Er6 Pu2'
_cell_length_a 14.6431
_cell_length_b 14.6431
_cell_length_c 14.6431
_cell_angle_alpha 24.26
_cell_angle_beta 24.26
_cell_angle_gamma 24.26
_space_group_name_H-M_alt 'P 1'
_space_group_IT_number 1
loop_
_space_group_symop_operation_xyz
'x,y,z'
loop_
_atom_site_label
_atom_site_type_symbol
_atom_site_fract_x
_atom_site_fract_y
_atom_site_fract_z
Pm1 Pm 0.1305 0.4615 0.7994
Pm2 Pm 0.2006 0.8695 0.5385
Pm3 Pm 0.4615 0.7994 0.1305
Pm4 Pm 0.5385 0.2006 0.8695
Pm5 Pm 0.7994 0.1305 0.4615
Pm6 Pm 0.8695 0.5385 0.2006
Er1 Er 0.0629 0.7299 0.3963
Er2 Er 0.2701 0.6037 0.9371
Er3 Er 0.3963 0.0629 0.7299
Er4 Er 0.6037 0.9371 0.2701
Er5 Er 0.7299 0.3963 0.0629
Er6 Er 0.9371 0.2701 0.6037
Pu1 Pu 0.3334 0.3334 0.3334
Pu2 Pu 0.6666 0.6666 0.6666
# * total magnetization: 6.32 μB per formula unit
# * calculated density: 8.4 g cm⁻³
# * D(E_F): 32.5 states/eV/cell
# * total energy: -5.828 eV/atom
# * V: 465.80 Å³/cell

=====

# 11
# HgS2Cl | Alexandria | PBE | optimized geometry
data_HgS2Cl
_chemical_formula_sum 'Hg2 S4 Cl2'
_cell_length_a 8.1810
_cell_length_b 8.1810
_cell_length_c 8.1810
_cell_angle_alpha 141.81
_cell_angle_beta 141.81
_cell_angle_gamma 55.11
_space_group_name_H-M_alt 'P 1'
_space_group_IT_number 1
loop_
_space_group_symop_operation_xyz
'x,y,z'
loop_
_atom_site_label
_atom_site_type_symbol
_atom_site_fract_x
_atom_site_fract_y
_atom_site_fract_z
Hg1 Hg 0.0000 0.0000 0.0000
Hg2 Hg 0.7500 0.2500 0.5000
S1 S 0.1382 0.6250 0.0132
S2 S 0.3750 0.3882 0.5132
S3 S 0.6118 0.1250 0.9868
S4 S 0.8750 0.8618 0.4868
Cl1 Cl 0.2500 0.7500 0.5000
Cl2 Cl 0.5000 0.5000 0.0000
# * total magnetization: 0.00 μB per formula unit
# * relative energy among the computed polymorphs: 645.8 meV per atom
# * calculated density: 4.8 g cm⁻³
# * D(E_F): 1.3 states/eV/cell
# * uncorrected formation energy: 561 meV/atom
# * total energy: -2.040 eV/atom
# * V: 207.76 Å³/cell

=====

# 12
# Cd2AgGe2 | Alexandria | PBE | optimized geometry
data_Cd2AgGe2
_chemical_formula_sum 'Cd4 Ag2 Ge4'
_cell_length_a 8.1691
_cell_length_b 8.1691
_cell_length_c 3.2367
_cell_angle_alpha 90.00
_cell_angle_beta 90.00
_cell_angle_gamma 90.00
_space_group_name_H-M_alt 'P 1'
_space_group_IT_number 1
loop_
_space_group_symop_operation_xyz
'x,y,z'
loop_
_atom_site_label
_atom_site_type_symbol
_atom_site_fract_x
_atom_site_fract_y
_atom_site_fract_z
Cd1 Cd 0.1459 0.3541 0.0000
Cd2 Cd 0.3541 0.8541 0.0000
Cd3 Cd 0.6459 0.1459 0.0000
Cd4 Cd 0.8541 0.6459 0.0000
Ag1 Ag 0.0000 0.0000 0.0000
Ag2 Ag 0.5000 0.5000 0.0000
Ge1 Ge 0.1543 0.6543 0.5000
Ge2 Ge 0.3457 0.1543 0.5000
Ge3 Ge 0.6543 0.8457 0.5000
Ge4 Ge 0.8457 0.3457 0.5000
# * total magnetization: 0.00 μB per formula unit
# * relative energy among the computed polymorphs: 123.9 meV per atom
# * calculated density: 7.3 g cm⁻³
# * D(E_F): 5.3 states/eV/cell
# * total energy: -2.485 eV/atom
# * V: 216.00 Å³/cell